Material: Si2PCl
Method: DFT, GGA-PBE
State: relaxed

POSCAR file:
```
Si2PCl
1.0
-2.025 1.672 2.255
-3.824 -0.952 -2.729
-2.188 -4.133 1.100
Cl Si P
1 2 1
Direct
0.500 0.250 0.250 Cl
0.000 0.542 0.542 Si
0.000 0.958 0.958 Si
0.500 0.750 0.750 P
```

## Properties
ΔE_f (raw): 1.0 eV per formula unit
ΔE to the lowest computed polymorph: 0.236 eV per atom



Material: Al2ZnSi2
Method: DFT, GGA-PBE
State: relaxed

POSCAR file:
```
Al2ZnSi2
1.0
7.178 0.000 0.000
0.000 7.178 0.000
0.000 0.000 3.212
Zn Si Al
2 4 4
Direct
0.500 0.500 0.000 Zn
0.000 0.000 0.000 Zn
0.129 0.371 0.000 Si
0.871 0.629 0.000 Si
0.371 0.871 0.000 Si
0.629 0.129 0.000 Si
0.166 0.666 0.500 Al
0.834 0.334 0.500 Al
0.334 0.166 0.500 Al
0.666 0.834 0.500 Al
```

## Properties
ΔE_f (raw): 1.3 eV per formula unit



Material: Sc2VAu
Method: DFT, GGA-PBE
State: relaxed

POSCAR file:
```
Sc2VAu
1.0
-4.264 -0.850 -1.995
-3.506 3.232 0.380
-1.383 2.492 -3.842
V Au Sc
1 1 2
Direct
0.000 0.000 0.000 V
0.500 0.500 0.500 Au
0.750 0.750 0.750 Sc
0.250 0.250 0.250 Sc
```

## Properties
calculated formation energy: -0.2395 eV/atom
ΔE to the lowest computed polymorph: 0.051 eV per atom



Material: CuAu2Cl
Method: DFT, GGA-PBE
State: relaxed

POSCAR file:
```
CuAu2Cl
1.0
6.587 0.026 -0.011
4.623 4.692 0.011
-5.311 -3.056 2.416
Cu Au Cl
1 2 1
Direct
0.250 0.750 0.500 Cu
0.449 0.449 0.000 Au
0.051 0.051 0.000 Au
0.750 0.250 0.500 Cl
```

## Properties
ΔE_f (raw): 0.5 eV per formula unit
ΔE to the lowest computed polymorph: 0.151 eV per atom



Material: HoPu2Ga9
Method: DFT, GGA-PBE
State: relaxed

POSCAR file:
```
HoPu2Ga9
1.0
-2.620 -3.273 0.841
3.377 -2.500 0.792
-0.342 3.443 12.330
Ga Pu Ho
9 2 1
Direct
0.500 0.000 0.167 Ga
0.500 0.000 0.500 Ga
0.000 0.500 0.500 Ga
0.500 0.000 0.833 Ga
0.500 0.500 0.000 Ga
0.500 0.500 0.665 Ga
0.000 0.500 0.167 Ga
0.000 0.500 0.833 Ga
0.500 0.500 0.335 Ga
0.000 0.000 0.332 Pu
0.000 0.000 0.668 Pu
0.000 0.000 0.000 Ho
```

## Properties
calculated formation energy: -0.4267 eV/atom
ΔE to the lowest computed polymorph: 0.000 eV per atom



Material: MgNpIr2
Method: DFT, GGA-PBE
State: relaxed

POSCAR file:
```
MgNpIr2
1.0
3.676 0.000 0.000
0.000 4.382 0.000
0.000 0.000 4.382
Ir Mg Np
2 1 1
Direct
0.000 0.000 0.500 Ir
0.000 0.500 0.000 Ir
0.500 0.000 0.000 Mg
0.500 0.500 0.500 Np
```

## Properties
calculated formation energy: -0.3481 eV/atom



Material: Ga2HgIO6
Method: DFT, GGA-PBE
State: relaxed

POSCAR file:
```
Ga2HgIO6
1.0
6.110 -0.129 -0.134
1.814 6.870 0.226
1.814 -0.028 6.874
O Ga Hg I
12 4 2 2
Direct
0.051 0.673 0.622 O
0.585 0.126 0.633 O
0.949 0.327 0.378 O
0.670 0.787 0.003 O
0.551 0.622 0.673 O
0.449 0.378 0.327 O
0.330 0.213 0.997 O
0.915 0.367 0.874 O
0.085 0.633 0.126 O
0.830 0.997 0.213 O
0.170 0.003 0.787 O
0.415 0.874 0.367 O
0.788 0.623 0.788 Ga
0.212 0.377 0.212 Ga
0.712 0.212 0.377 Ga
0.288 0.788 0.623 Ga
0.250 0.897 0.103 Hg
0.750 0.103 0.897 Hg
0.250 0.284 0.716 I
0.750 0.716 0.284 I
```

## Properties
ΔE_f (raw): -8.8 eV per formula unit



Material: TaAs2PbBr
Method: DFT, GGA-PBE
State: relaxed

POSCAR file:
```
TaAs2PbBr
1.0
5.066 0.000 0.000
0.000 5.066 0.000
0.000 0.000 5.185
As Br Ta Pb
2 1 1 1
Direct
0.500 0.000 0.000 As
0.000 0.500 0.000 As
0.000 0.000 0.500 Br
0.000 0.000 0.000 Ta
0.500 0.500 0.500 Pb
```

## Properties
ΔE_f (raw): 0.4 eV per formula unit
ΔE to the lowest computed polymorph: 0.000 eV per atom



Material: KZr2Ru
Method: DFT, GGA-PBE
State: relaxed

POSCAR file:
```
KZr2Ru
1.0
-4.098 2.212 3.591
-5.309 1.507 -2.030
3.736 -4.535 -0.237
Zr Ru K
2 1 1
Direct
0.250 0.750 0.500 Zr
0.000 0.000 0.000 Zr
0.750 0.250 0.500 Ru
0.500 0.500 0.000 K
```

## Properties
calculated formation energy: 0.9017 eV/atom
ΔE to the lowest computed polymorph: 0.755 eV per atom



Material: SrSbO3
Method: DFT, GGA-PBE
State: relaxed

POSCAR file:
```
SrSbO3
1.0
5.920 -0.002 0.000
0.042 5.919 0.000
0.000 0.000 8.393
Sr O Sb
4 12 4
Direct
0.986 0.986 0.250 Sr
0.014 0.014 0.750 Sr
0.492 0.492 0.250 Sr
0.508 0.508 0.750 Sr
0.043 0.447 0.750 O
0.210 0.210 0.046 O
0.210 0.210 0.454 O
0.553 0.957 0.250 O
0.707 0.293 0.500 O
0.293 0.707 0.000 O
0.790 0.790 0.546 O
0.707 0.293 0.000 O
0.957 0.553 0.250 O
0.447 0.043 0.750 O
0.790 0.790 0.954 O
0.293 0.707 0.500 O
0.500 0.000 0.500 Sb
0.000 0.500 0.000 Sb
0.000 0.500 0.500 Sb
0.500 0.000 0.000 Sb
```

## Properties
ΔE_f (raw): -10.0 eV per formula unit



Material: Pm5Sb2O
Method: DFT, GGA-PBE
State: relaxed

POSCAR file:
```
Pm5Sb2O
1.0
5.770 0.000 0.000
-2.885 4.935 0.000
0.000 0.000 15.250
O Pm Sb
2 10 4
Direct
0.250 0.500 0.250 O
0.750 0.500 0.750 O
0.250 0.500 0.750 Pm
0.415 0.831 0.130 Pm
0.585 0.169 0.630 Pm
0.085 0.170 0.130 Pm
0.750 0.500 0.250 Pm
0.585 0.169 0.870 Pm
0.415 0.831 0.370 Pm
0.085 0.170 0.370 Pm
0.915 0.830 0.630 Pm
0.915 0.830 0.870 Pm
0.750 0.500 0.055 Sb
0.250 0.500 0.945 Sb
0.750 0.500 0.445 Sb
0.250 0.500 0.555 Sb
```

## Properties
ΔE_f (raw): -8.7 eV per formula unit



Material: K3SmPu2O9
Method: DFT, GGA-PBE
State: relaxed

POSCAR file:
```
K3SmPu2O9
1.0
6.106 0.000 0.000
-3.053 5.288 0.000
0.000 0.000 7.495
O Sm K Pu
9 1 3 2
Direct
0.000 0.500 0.000 O
0.354 0.177 0.682 O
0.177 0.823 0.318 O
0.646 0.823 0.318 O
0.500 0.000 0.000 O
0.823 0.177 0.682 O
0.823 0.646 0.682 O
0.177 0.354 0.318 O
0.500 0.500 0.000 O
0.000 0.000 0.500 Sm
0.000 0.000 0.000 K
0.333 0.667 0.663 K
0.667 0.333 0.337 K
0.667 0.333 0.838 Pu
0.333 0.667 0.162 Pu
```

## Properties
ΔE_f (raw): -38.1 eV per formula unit



Material: TmAgBi2
Method: DFT, GGA-PBE
State: relaxed

POSCAR file:
```
TmAgBi2
1.0
5.204 0.000 0.000
2.602 4.507 0.000
2.602 1.502 4.618
Bi Ag Tm
2 1 1
Direct
0.257 0.257 0.230 Bi
0.743 0.743 0.770 Bi
0.000 0.000 0.000 Ag
0.500 0.500 0.500 Tm
```

## Properties
calculated formation energy: -0.1373 eV/atom



Material: Tc2Ir4Ru3
Method: DFT, GGA-PBE
State: relaxed

POSCAR file:
```
Tc2Ir4Ru3
1.0
3.858 0.000 0.000
0.000 6.066 0.536
-1.929 -2.311 5.296
Ir Ru Tc
4 3 2
Direct
0.446 0.670 0.892 Ir
0.778 0.672 0.555 Ir
0.222 0.328 0.445 Ir
0.554 0.330 0.108 Ir
0.111 0.670 0.223 Ru
0.000 0.000 0.000 Ru
0.889 0.330 0.777 Ru
0.667 0.002 0.335 Tc
0.333 0.998 0.665 Tc
```

## Properties
calculated formation energy: -0.0737 eV/atom
ΔE to the lowest computed polymorph: 0.055 eV per atom



Material: K2YV
Method: DFT, GGA-PBE
State: relaxed

POSCAR file:
```
K2YV
1.0
10.375 0.000 0.000
0.000 10.375 0.000
5.187 5.187 3.130
K Y V
4 2 2
Direct
0.375 0.429 0.750 K
0.179 0.625 0.250 K
0.875 0.821 0.750 K
0.571 0.125 0.250 K
0.000 0.000 0.000 Y
0.750 0.250 0.500 Y
0.250 0.750 0.500 V
0.500 0.500 0.000 V
```

## Properties
calculated formation energy: 1.1963 eV/atom
ΔE to the lowest computed polymorph: 0.000 eV per atom



Material: TaRe2Tc2
Method: DFT, GGA-PBE
State: relaxed

POSCAR file:
```
TaRe2Tc2
1.0
7.526 0.000 0.000
0.000 7.526 0.000
0.000 0.000 2.813
Tc Ta Re
4 2 4
Direct
0.872 0.628 0.000 Tc
0.372 0.872 0.000 Tc
0.128 0.372 0.000 Tc
0.628 0.128 0.000 Tc
0.000 0.000 0.000 Ta
0.500 0.500 0.000 Ta
0.330 0.170 0.500 Re
0.670 0.830 0.500 Re
0.170 0.670 0.500 Re
0.830 0.330 0.500 Re
```

## Properties
calculated formation energy: 0.1516 eV/atom



Material: RbCaSeBr2
Method: DFT, GGA-PBE
State: relaxed

POSCAR file:
```
RbCaSeBr2
1.0
-0.766 -2.564 -5.349
-1.954 -4.983 2.668
-5.324 1.986 -0.189
Se Br Rb Ca
1 2 1 1
Direct
0.000 0.000 0.500 Se
0.500 0.000 0.000 Br
0.000 0.500 0.000 Br
0.000 0.000 0.000 Rb
0.500 0.500 0.500 Ca
```

## Properties
ΔE_f (raw): -2.7 eV per formula unit
ΔE to the lowest computed polymorph: 0.885 eV per atom



Material: ZrAs2Ir
Method: DFT, GGA-PBE
State: relaxed

POSCAR file:
```
ZrAs2Ir
1.0
8.324 -0.019 -0.011
7.683 3.202 -0.011
7.683 1.528 2.814
As Ir Zr
2 1 1
Direct
0.241 0.241 0.241 As
0.000 0.000 0.000 As
0.508 0.508 0.508 Ir
0.750 0.750 0.750 Zr
```

## Properties
calculated formation energy: -0.1559 eV/atom
ΔE to the lowest computed polymorph: 0.408 eV per atom



Material: Pr2YPuAs4
Method: DFT, GGA-PBE
State: relaxed

POSCAR file:
```
Pr2YPuAs4
1.0
-2.723 -1.073 3.050
-2.845 -5.126 -4.343
5.479 -2.868 3.883
As Pu Pr Y
4 1 2 1
Direct
0.000 0.747 0.238 As
0.500 0.756 0.763 As
0.000 0.253 0.762 As
0.500 0.244 0.237 As
0.000 0.000 0.000 Pu
0.500 0.000 0.500 Pr
0.000 0.500 0.500 Pr
0.500 0.500 0.000 Y
```

## Properties
calculated formation energy: -1.3798 eV/atom



Material: LiNbBi
Method: DFT, GGA-PBE
State: relaxed

POSCAR file:
```
LiNbBi
1.0
3.604 0.000 0.000
0.000 3.604 0.000
-1.802 -1.802 11.127
Nb Bi Li
2 2 2
Direct
0.281 0.281 0.562 Nb
0.719 0.719 0.438 Nb
0.142 0.142 0.284 Bi
0.858 0.858 0.716 Bi
0.427 0.427 0.855 Li
0.573 0.573 0.145 Li
```

## Properties
calculated formation energy: -0.0442 eV/atom



Material: PmErTh2
Method: DFT, GGA-PBE
State: relaxed

POSCAR file:
```
PmErTh2
1.0
-1.979 -2.241 -1.929
1.134 -2.719 1.995
-7.849 1.423 6.401
Th Pm Er
2 1 1
Direct
0.000 0.000 0.755 Th
0.000 0.000 0.245 Th
0.500 0.500 0.500 Pm
0.500 0.500 0.000 Er
```

## Properties
calculated formation energy: 0.0654 eV/atom
ΔE to the lowest computed polymorph: 0.036 eV per atom



Material: Cs3CrCu
Method: DFT, GGA-PBE
State: relaxed

POSCAR file:
```
Cs3CrCu
1.0
6.843 0.000 0.000
0.000 6.843 0.000
0.000 0.000 6.843
Cr Cu Cs
1 1 3
Direct
0.500 0.500 0.500 Cr
0.000 0.000 0.000 Cu
0.000 0.000 0.500 Cs
0.000 0.500 0.000 Cs
0.500 0.000 0.000 Cs
```

## Properties
calculated formation energy: 0.7660 eV/atom



Number 1: calculated volume 72.93 Å³ per cell, M_tot 0.00 μB per cell. Number 2: calculated volume 165.46 Å³ per cell, M_tot 0.00 μB per cell. Number 3: calculated volume 77.42 Å³ per cell, M_tot 3.54 μB per cell. Number 4: calculated volume 74.47 Å³ per cell, M_tot 0.00 μB per cell. Number 5: calculated volume 234.18 Å³ per cell, M_tot 10.62 μB per cell. Number 6: calculated volume 70.58 Å³ per cell, M_tot 3.01 μB per cell. Number 7: calculated volume 291.80 Å³ per cell, M_tot 1.84 μB per cell. Number 8: calculated volume 133.05 Å³ per cell, M_tot 0.00 μB per cell. Number 9: calculated volume 85.86 Å³ per cell, M_tot 0.00 μB per cell. Number 10: calculated volume 294.11 Å³ per cell, M_tot 0.00 μB per cell. Number 11: calculated volume 434.20 Å³ per cell, M_tot 0.00 μB per cell. Number 12: calculated volume 242.01 Å³ per cell, M_tot 4.00 μB per cell. Number 13: calculated volume 108.31 Å³ per cell, M_tot 0.00 μB per cell. Number 14: calculated volume 128.72 Å³ per cell, M_tot 0.00 μB per cell. Number 15: calculated volume 336.84 Å³ per cell, M_tot 9.61 μB per cell. Number 16: calculated volume 159.33 Å³ per cell, M_tot 0.00 μB per cell. Number 17: calculated volume 203.35 Å³ per cell, M_tot 0.00 μB per cell. Number 18: calculated volume 75.70 Å³ per cell, M_tot 0.00 μB per cell. Number 19: calculated volume 212.32 Å³ per cell, M_tot 4.93 μB per cell. Number 20: calculated volume 144.49 Å³ per cell, M_tot 0.00 μB per cell. Number 21: calculated volume 129.47 Å³ per cell, M_tot 0.00 μB per cell. Number 22: calculated volume 320.45 Å³ per cell, M_tot 6.00 μB per cell.